[1]
Crystalline LiAgIr2 at its relaxed geometry, computed with PBE-GGA.

The structure in extended XYZ format:
```
8
Lattice="3.649 0.000 0.000 0.000 3.649 0.000 1.824 1.824 9.698" Properties=species:S:1:pos:R:3 pbc="T T T"
Ir 2.683 0.912 2.424
Ir 0.965 2.737 2.424
Ir 2.737 2.790 7.273
Ir 4.561 4.508 7.273
Ag 0.000 0.000 0.000
Ag 3.649 1.824 4.849
Li 1.824 1.824 0.000
Li 1.824 3.649 4.849
```

Properties
- M_tot: 0.00 μB/cell
- Calculated total energy: -5.216 eV per atom

***

[2]
Crystalline LiAgIr2 at its relaxed geometry, computed with PBE-GGA.

The structure in extended XYZ format:
```
4
Lattice="4.933 -0.004 -0.003 4.191 2.603 -0.003 0.709 0.202 4.621" Properties=species:S:1:pos:R:3 pbc="T T T"
Ag 7.375 2.101 3.461
Ir 9.122 2.599 0.062
Ir 4.919 1.402 2.241
Li 2.458 0.700 1.154
```

Properties
- M_tot: 0.00 μB/cell
- Calculated total energy: -5.595 eV per atom

***

[3]
Crystalline LiAgIr2 at its relaxed geometry, computed with PBE-GGA.

The structure in extended XYZ format:
```
4
Lattice="5.138 0.004 0.000 2.483 4.498 0.000 -3.810 -2.251 2.610" Properties=species:S:1:pos:R:3 pbc="T T T"
Ag 2.569 0.002 1.305
Ir 0.000 0.000 0.000
Ir 3.810 2.251 0.000
Li 1.241 2.249 1.305
```

Properties
- M_tot: 0.00 μB/cell
- Calculated total energy: -5.370 eV per atom

***

[4]
Crystalline Li2AgIr2 at its relaxed geometry, computed with PBE-GGA.

The structure in extended XYZ format:
```
5
Lattice="-1.767 1.767 6.923 1.767 -1.767 6.923 1.767 1.767 -6.923" Properties=species:S:1:pos:R:3 pbc="T T T"
Li 0.000 0.000 8.345
Li 0.000 0.000 5.501
Ag 0.000 0.000 0.000
Ir 1.767 0.000 3.461
Ir 0.000 1.767 3.461
```

Properties
- Polymorph energy (0 for the lowest one): 13 kJ/mol of formula units
- M_tot: 0.00 μB/cell

***

[5]
Crystalline LiAgIr at its relaxed geometry, computed with PBE-GGA.

The structure in extended XYZ format:
```
3
Lattice="-6.653 0.356 0.127 -5.659 -2.139 2.794 6.255 2.290 -0.189" Properties=species:S:1:pos:R:3 pbc="T T T"
Ag -0.014 -0.002 0.003
Ir -4.001 -0.579 0.949
Li -8.297 -1.201 1.968
```

Properties
- Polymorph energy (0 for the lowest one): 31 kJ/mol of formula units
- M_tot: 0.01 μB/cell

***

[6]
Crystalline LiAgIr2 at its relaxed geometry, computed with PBE-GGA.

The structure in extended XYZ format:
```
4
Lattice="4.373 0.000 0.000 0.000 3.699 0.000 0.000 0.000 3.699" Properties=species:S:1:pos:R:3 pbc="T T T"
Ag 2.186 0.000 1.849
Ir 0.000 0.000 0.000
Ir 0.000 1.849 1.849
Li 2.186 1.849 0.000
```

Properties
- M_tot: 0.18 μB/cell
- Calculated total energy: -5.398 eV per atom

***

[7]
Crystalline LiAgIr2 at its relaxed geometry, computed with PBE-GGA.

The structure in extended XYZ format:
```
4
Lattice="-1.151 4.612 -1.684 0.869 -3.630 -3.391 -2.614 -0.645 0.020" Properties=species:S:1:pos:R:3 pbc="T T T"
Ag -0.872 -2.137 -1.686
Ir 0.000 0.000 0.000
Ir -0.141 0.491 -2.537
Li -1.882 1.984 -0.832
```

Properties
- M_tot: 0.01 μB/cell
- Calculated total energy: -5.361 eV per atom

***

[8]
Crystalline LiAg2Ir at its relaxed geometry, computed with PBE-GGA.

The structure in extended XYZ format:
```
4
Lattice="2.751 0.000 0.000 0.000 2.751 0.000 0.000 0.000 8.421" Properties=species:S:1:pos:R:3 pbc="T T T"
Ag 0.000 0.000 8.380
Ag 0.000 0.000 4.251
Ir 1.376 1.376 2.105
Li 1.376 1.376 6.316
```

Properties
- M_tot: 0.02 μB/cell
- Calculated total energy: -3.923 eV per atom